# GeSbOF2

A relaxed structure of GeSbOF2 (PBE, the Alexandria database).

Computed properties:
distance to the lowest polymorph of the same formula	1.1	kJ/mol of atoms
formation energy without anion corrections	-4.805	eV/f.u.
space-group type	P4/mmm (123)
DFT total energy	-22.2	eV per cell

Cell: 4.4701 4.4701 3.8639 Å, 90.00 90.00 90.00°
Positions (direct):
Ge1 0.0000 0.0000 0.0000
Sb1 0.5000 0.5000 0.5000
O1 0.0000 0.0000 0.5000
F1 0.0000 0.5000 0.0000
F2 0.5000 0.0000 0.0000